1.
# PrTm2RuN4 (PBE-GGA, optimized geometry)
# Uncorrected formation energy = -8.5 eV per formula unit
# Crystal system = orthorhombic
# DFT total energy = -8.097 eV/atom
# DOS(E_F) = 2.7 states/eV/f.u.
data_PrTm2RuN4
_symmetry_space_group_name_H-M 'C m c m'
_symmetry_Int_Tables_number 63
_symmetry_space_group_name_Hall '-C 2c 2'
_cell_length_a 3.427
_cell_length_b 11.603
_cell_length_c 11.484
_cell_angle_alpha 90.00
_cell_angle_beta 90.00
_cell_angle_gamma 90.00
loop_
_atom_site_label
_atom_site_type_symbol
_atom_site_fract_x
_atom_site_fract_y
_atom_site_fract_z
Pr1 Pr 0.000 0.117 0.250
Tm1 Tm 0.000 0.369 0.042
Ru1 Ru 0.000 0.145 0.750
N1 N 0.000 0.000 0.000
N2 N 0.000 0.265 0.624
N3 N 0.000 0.441 0.250

2.
# ThCu2Bi (PBE-GGA, optimized geometry)
# Crystal system = trigonal
# DFT total energy = -4.992 eV/atom
# DOS(E_F) = 2.1 states/eV/f.u.
data_ThCu2Bi
_symmetry_space_group_name_H-M 'R -3 m'
_symmetry_Int_Tables_number 166
_symmetry_space_group_name_Hall '-R 3 2"'
_cell_length_a 4.5019
_cell_length_b 4.5019
_cell_length_c 14.9422
_cell_angle_alpha 90.00
_cell_angle_beta 90.00
_cell_angle_gamma 120.00
loop_
_atom_site_label
_atom_site_type_symbol
_atom_site_fract_x
_atom_site_fract_y
_atom_site_fract_z
Th1 Th 0.0000 0.0000 0.0000
Cu1 Cu 0.0000 0.0000 0.2315
Bi1 Bi 0.0000 0.0000 0.5000

3.
# InNi (PBE-GGA, optimized geometry)
# Crystal system = trigonal
# DFT total energy = -4.150 eV/atom
# DOS(E_F) = 1.3 states/eV/f.u.
data_InNi
_symmetry_space_group_name_H-M 'R -3 m'
_symmetry_Int_Tables_number 166
_symmetry_space_group_name_Hall '-R 3 2"'
_cell_length_a 3.0873
_cell_length_b 3.0873
_cell_length_c 12.1134
_cell_angle_alpha 90.00
_cell_angle_beta 90.00
_cell_angle_gamma 120.00
loop_
_atom_site_label
_atom_site_type_symbol
_atom_site_fract_x
_atom_site_fract_y
_atom_site_fract_z
In1 In 0.0000 0.0000 0.0000
Ni1 Ni 0.0000 0.0000 0.5000

4.
# TmFe5Ge3 (PBE-GGA, optimized geometry)
# Crystal system = orthorhombic
# DFT total energy = -6.963 eV/atom
# DOS(E_F) = 6.7 states/eV/f.u.
data_TmFe5Ge3
_symmetry_space_group_name_H-M 'C m c m'
_symmetry_Int_Tables_number 63
_symmetry_space_group_name_Hall '-C 2c 2'
_cell_length_a 4.001
_cell_length_b 11.914
_cell_length_c 11.137
_cell_angle_alpha 90.00
_cell_angle_beta 90.00
_cell_angle_gamma 90.00
loop_
_atom_site_label
_atom_site_type_symbol
_atom_site_fract_x
_atom_site_fract_y
_atom_site_fract_z
Tm1 Tm 0.000 0.170 0.250
Fe1 Fe 0.000 0.000 0.000
Fe2 Fe 0.000 0.198 0.540
Fe3 Fe 0.000 0.408 0.138
Ge1 Ge 0.000 0.125 0.750
Ge2 Ge 0.000 0.395 0.578

5.
# AlReSi (PBE-GGA, optimized geometry)
# Uncorrected formation energy = 0.6 eV per formula unit
# Crystal system = orthorhombic
# DFT total energy = -6.997 eV/atom
# DOS(E_F) = 2.2 states/eV/f.u.
data_AlReSi
_symmetry_space_group_name_H-M 'F m m 2'
_symmetry_Int_Tables_number 42
_symmetry_space_group_name_Hall 'F 2 -2'
_cell_length_a 2.995
_cell_length_b 4.784
_cell_length_c 12.450
_cell_angle_alpha 90.00
_cell_angle_beta 90.00
_cell_angle_gamma 90.00
loop_
_atom_site_label
_atom_site_type_symbol
_atom_site_fract_x
_atom_site_fract_y
_atom_site_fract_z
Al1 Al 0.000 0.000 0.000
Re1 Re 0.000 0.000 0.330
Si1 Si 0.000 0.000 0.675

6.
# YCo12Si6 (PBE-GGA, optimized geometry)
# Uncorrected formation energy = -7.0 eV per formula unit
# Crystal system = trigonal
# DFT total energy = -6.907 eV/atom
# DOS(E_F) = 19.2 states/eV/f.u.
data_YCo12Si6
_symmetry_space_group_name_H-M 'R -3 m'
_symmetry_Int_Tables_number 166
_symmetry_space_group_name_Hall '-R 3 2"'
_cell_length_a 10.3220
_cell_length_b 10.3220
_cell_length_c 7.7512
_cell_angle_alpha 90.00
_cell_angle_beta 90.00
_cell_angle_gamma 120.00
loop_
_atom_site_label
_atom_site_type_symbol
_atom_site_fract_x
_atom_site_fract_y
_atom_site_fract_z
Y1 Y 0.0000 0.0000 0.0000
Co1 Co 0.0000 0.3714 0.5000
Co2 Co 0.0864 0.1729 0.3517
Si1 Si 0.0337 0.5168 0.2729